Entry 1:
HgBi2H: relaxed, PBE-GGA.

Cell lengths 4.699, 4.699, 7.360 Å; angles 71.38, 71.38, 60.00 degrees
Fractional positions:
Hg 0.500 0.500 0.500
H 0.000 0.000 0.000
Bi 0.101 0.101 0.696
Bi 0.899 0.899 0.304

Values from the calculation:
Spin magnetization: 0.00 Bohr magnetons per cell
E above lowest polymorph: 179 meV per atom

---

Entry 2:
Hg3Bi2H2: relaxed, PBE-GGA.

Cell lengths 3.416, 15.172, 8.909 Å; angles 23.66, 108.14, 106.54 degrees
Fractional positions:
Bi 0.442 0.741 0.071
Bi 0.558 0.259 0.929
Hg 0.557 0.407 0.008
Hg 0.000 0.000 0.000
Hg 0.443 0.593 0.992
H 0.832 0.814 0.396
H 0.168 0.186 0.604

Values from the calculation:
Spin magnetization: 0.00 Bohr magnetons per cell
Total DFT energy (no corrections): -13.805 eV per cell

---

Entry 3:
Hg3BiH: relaxed, PBE-GGA.

Cell lengths 6.146, 6.146, 6.146 Å; angles 90.00, 90.00, 90.00 degrees
Fractional positions:
Bi 0.000 0.000 0.000
Hg 0.000 0.000 0.500
Hg 0.000 0.500 0.000
Hg 0.500 0.000 0.000
H 0.500 0.500 0.500

Values from the calculation:
Spin magnetization: 0.99 Bohr magnetons per cell
E above lowest polymorph: 395 meV per atom

---

Entry 4:
Hg3BiH: relaxed, PBE-GGA.

Cell lengths 11.108, 4.585, 12.421 Å; angles 119.45, 90.00, 90.00 degrees
Fractional positions:
Hg 0.133 0.333 0.226
Hg 0.424 0.820 0.086
Hg 0.542 0.272 0.679
Hg 0.867 0.667 0.774
Hg 0.958 0.772 0.179
Hg 0.367 0.833 0.726
Hg 0.042 0.228 0.821
Hg 0.924 0.680 0.414
Hg 0.576 0.180 0.914
Hg 0.633 0.167 0.274
Hg 0.458 0.728 0.321
Hg 0.076 0.320 0.586
Bi 0.764 0.907 0.029
Bi 0.264 0.593 0.471
Bi 0.236 0.093 0.971
Bi 0.736 0.407 0.529
H 0.333 0.169 0.413
H 0.833 0.331 0.087
H 0.167 0.669 0.913
H 0.667 0.831 0.587

Values from the calculation:
Spin magnetization: 0.00 Bohr magnetons per cell
E above lowest polymorph: 0 meV per atom

---

Entry 5:
HgBiH: relaxed, PBE-GGA.

Cell lengths 7.843, 7.802, 5.095 Å; angles 90.00, 90.00, 90.00 degrees
Fractional positions:
H 0.828 0.750 0.509
H 0.672 0.250 0.009
H 0.328 0.750 0.991
H 0.172 0.250 0.491
Hg 0.000 0.000 0.000
Hg 0.500 0.500 0.500
Hg 0.500 0.000 0.500
Hg 0.000 0.500 0.000
Bi 0.940 0.250 0.411
Bi 0.560 0.750 0.911
Bi 0.440 0.250 0.089
Bi 0.060 0.750 0.589

Values from the calculation:
Spin magnetization: 0.00 Bohr magnetons per cell
E above lowest polymorph: 31 meV per atom

---

Entry 6:
HgBiH: relaxed, PBE-GGA.

Cell lengths 5.061, 5.004, 6.592 Å; angles 82.24, 111.26, 104.21 degrees
Fractional positions:
H 0.662 0.741 0.310
H 0.338 0.259 0.690
Hg 0.925 0.457 0.239
Hg 0.075 0.543 0.761
Bi 0.590 0.020 0.749
Bi 0.410 0.980 0.251

Values from the calculation:
Spin magnetization: 0.00 Bohr magnetons per cell
E above lowest polymorph: 15 meV per atom

---

> Which formula does entry 2 have?

Hg3Bi2H2

---

> Among the records above, which one has the highest spin magnetization?

number 3

---

Repeat the sixth record exactly.
HgBiH: relaxed, PBE-GGA.

Cell lengths 5.061, 5.004, 6.592 Å; angles 82.24, 111.26, 104.21 degrees
Fractional positions:
H 0.662 0.741 0.310
H 0.338 0.259 0.690
Hg 0.925 0.457 0.239
Hg 0.075 0.543 0.761
Bi 0.590 0.020 0.749
Bi 0.410 0.980 0.251

Values from the calculation:
Spin magnetization: 0.00 Bohr magnetons per cell
E above lowest polymorph: 15 meV per atom

---

> What is the formula in the sixth record?

HgBiH